(1)
4
Lattice="4.0943 0.0000 0.0000 2.0472 3.5458 0.0000 2.0472 1.1819 11.0648" Properties=species:S:1:pos:R:3 comment="PBE-GGA Sr2LiMg, relaxed" ef_mev_per_atom=133 sg="R3m (160)" pbc="T T T"
Li 4.0943 2.3639 5.5276
Sr 2.0472 1.1819 8.3233
Sr 2.0472 1.1819 2.7438
Mg 4.0943 2.3639 0.0026

---

(2)
14
Lattice="-3.1624 -5.6282 -1.7437 4.8481 -4.4762 1.0847 -4.1842 -4.1437 13.5379" Properties=species:S:1:pos:R:3 comment="PBE-GGA Sr5LiMg, relaxed" ef_mev_per_atom=98 sg="C2/c (15)" pbc="T T T"
Sr -1.7480 -8.4844 4.7225
Sr -0.6053 -8.1387 0.7790
Sr -0.0770 -9.8337 8.4732
Sr 1.5081 -7.6130 11.1668
Sr -1.5689 -10.2297 12.2934
Sr -0.9295 -4.0184 0.5855
Sr -2.4215 -4.4144 4.4058
Sr -1.8931 -6.1094 12.1000
Sr -4.0065 -6.6350 1.7121
Sr -0.7504 -5.7637 8.1564
Mg 0.6836 -5.9606 3.3681
Mg -3.1820 -8.2875 9.5108
Li -2.0921 -2.0719 6.7690
Li 0.0000 0.0000 0.0000

---

Fermi-level density of states (states/eV/cell)
4.3 14.5
Magnetic moment (μB per cell)
0.00 0.00
Total DFT energy (no corrections) (eV/atom)
-1.585 -1.605